Density functional theory data (GGA-PBE) for an optimized crystal structure of TlGaRe2.

Results
The density of states at the Fermi level is 5.897 states/eV per cell. The total energy comes out at -26.40 eV per cell. The value obtained for the total magnetic moment is 0.0 μB per cell. The calculated volume comes out at 16.5 A^3/atom. The space-group type is Fm-3m.

abc: 4.540 4.540 4.540
angles: 60.00 60.00 60.00
Fractional coordinates of all 4 atoms:
Re (0.250, 0.250, 0.250)
Re (0.750, 0.750, 0.750)
Tl (0.500, 0.500, 0.500)
Ga (0.000, 0.000, 0.000)



Density functional theory data (GGA-PBE) for an optimized crystal structure of TlGa3Re.

Results
The density of states at the Fermi level is 2.612 states/eV per cell. The total energy comes out at -23.22 eV per cell. The value obtained for the total magnetic moment is 0.0 μB per cell. The calculated volume comes out at 23.9 A^3/atom. The space-group type is Pm-3m.

abc: 4.923 4.923 4.923
angles: 90.00 90.00 90.00
Fractional coordinates of all 5 atoms:
Re (0.000, 0.000, 0.000)
Tl (0.500, 0.500, 0.500)
Ga (0.000, 0.500, 0.000)
Ga (0.000, 0.000, 0.500)
Ga (0.500, 0.000, 0.000)



Density functional theory data (GGA-PBE) for an optimized crystal structure of Tm2Ga8Re.

Results
The density of states at the Fermi level is 4.652 states/eV per cell. The total energy comes out at -49.45 eV per cell. The value obtained for the total magnetic moment is 0.0 μB per cell. The calculated volume comes out at 18.8 A^3/atom. The space-group type is P4/mmm.

abc: 4.291 4.291 11.215
angles: 90.00 90.00 90.00
Fractional coordinates of all 11 atoms:
Re (0.000, 0.000, 0.000)
Tm (0.000, 0.000, 0.310)
Tm (0.000, 0.000, 0.690)
Ga (0.000, 0.500, 0.500)
Ga (0.500, 0.000, 0.500)
Ga (0.500, 0.500, 0.311)
Ga (0.500, 0.500, 0.689)
Ga (0.000, 0.500, 0.124)
Ga (0.500, 0.000, 0.124)
Ga (0.000, 0.500, 0.876)
Ga (0.500, 0.000, 0.876)



Density functional theory data (GGA-PBE) for an optimized crystal structure of TmGaRe.

Results
The density of states at the Fermi level is 7.331 states/eV per cell. The total energy comes out at -41.36 eV per cell. The value obtained for the total magnetic moment is 0.0 μB per cell. The calculated volume comes out at 19.1 A^3/atom. The space-group type is P4/nmm.

abc: 3.891 3.891 7.580
angles: 90.00 90.00 90.00
Fractional coordinates of all 6 atoms:
Re (0.000, 0.000, 0.000)
Re (0.500, 0.500, 0.000)
Tm (0.000, 0.500, 0.347)
Tm (0.500, 0.000, 0.653)
Ga (0.000, 0.500, 0.757)
Ga (0.500, 0.000, 0.243)



Density functional theory data (GGA-PBE) for an optimized crystal structure of TmGa6Re.

Results
The density of states at the Fermi level is 3.473 states/eV per cell. The total energy comes out at -34.44 eV per cell. The value obtained for the total magnetic moment is 0.0 μB per cell. The calculated volume comes out at 21.9 A^3/atom. The space-group type is R-3m.

abc: 5.759 5.759 6.940
angles: 65.49 65.49 60.00
Fractional coordinates of all 8 atoms:
Tm (0.500, 0.500, 0.500)
Ga (0.917, 0.917, 0.719)
Ga (0.448, 0.917, 0.719)
Ga (0.083, 0.552, 0.281)
Ga (0.552, 0.083, 0.281)
Ga (0.083, 0.083, 0.281)
Ga (0.917, 0.448, 0.719)
Re (0.000, 0.000, 0.000)



Density functional theory data (GGA-PBE) for an optimized crystal structure of U2GaRe.

Results
The density of states at the Fermi level is 7.324 states/eV per cell. The total energy comes out at -38.00 eV per cell. The value obtained for the total magnetic moment is 1.6 μB per cell. The calculated volume comes out at 19.5 A^3/atom. The space-group type is P4/mmm.

abc: 3.042 3.042 8.441
angles: 90.00 90.00 90.00
Fractional coordinates of all 4 atoms:
Re (0.500, 0.500, 0.000)
U (0.000, 0.000, 0.769)
U (0.000, 0.000, 0.231)
Ga (0.500, 0.500, 0.500)



Density functional theory data (GGA-PBE) for an optimized crystal structure of U2Ga8Re.

Results
The density of states at the Fermi level is 10.880 states/eV per cell. The total energy comes out at -61.26 eV per cell. The value obtained for the total magnetic moment is 4.0 μB per cell. The calculated volume comes out at 19.0 A^3/atom. The space-group type is P4/mmm.

abc: 4.390 4.390 10.858
angles: 90.00 90.00 90.00
Fractional coordinates of all 11 atoms:
Re (0.000, 0.000, 0.000)
U (0.000, 0.000, 0.305)
U (0.000, 0.000, 0.695)
Ga (0.000, 0.500, 0.500)
Ga (0.500, 0.000, 0.500)
Ga (0.500, 0.500, 0.310)
Ga (0.500, 0.500, 0.690)
Ga (0.000, 0.500, 0.123)
Ga (0.500, 0.000, 0.123)
Ga (0.000, 0.500, 0.877)
Ga (0.500, 0.000, 0.877)



Density functional theory data (GGA-PBE) for an optimized crystal structure of UGaRe.

Results
The density of states at the Fermi level is 4.179 states/eV per cell. The total energy comes out at -26.65 eV per cell. The value obtained for the total magnetic moment is 0.7 μB per cell. The calculated volume comes out at 18.3 A^3/atom. The space-group type is I4mm.

abc: 3.143 3.143 5.991
angles: 105.21 105.21 90.00
Fractional coordinates of all 3 atoms:
Re (0.659, 0.659, 0.317)
U (0.318, 0.318, 0.635)
Ga (0.024, 0.024, 0.048)



Density functional theory data (GGA-PBE) for an optimized crystal structure of UGaRe2.

Results
The density of states at the Fermi level is 2.538 states/eV per cell. The total energy comes out at -39.28 eV per cell. The value obtained for the total magnetic moment is 0.0 μB per cell. The calculated volume comes out at 16.8 A^3/atom. The space-group type is P4/mmm.

abc: 3.656 4.290 4.290
angles: 90.00 90.00 90.00
Fractional coordinates of all 4 atoms:
Re (0.000, 0.000, 0.500)
Re (0.000, 0.500, 0.000)
U (0.500, 0.000, 0.000)
Ga (0.500, 0.500, 0.500)



Density functional theory data (GGA-PBE) for an optimized crystal structure of UGaRe.

Results
The density of states at the Fermi level is 3.542 states/eV per cell. The total energy comes out at -26.61 eV per cell. The value obtained for the total magnetic moment is 0.0 μB per cell. The calculated volume comes out at 17.7 A^3/atom. The space-group type is P-6m2.

abc: 4.771 4.771 2.701
angles: 90.00 90.00 120.00
Fractional coordinates of all 3 atoms:
Re (0.000, 0.000, 0.167)
U (0.333, 0.667, 0.666)
Ga (0.667, 0.333, 0.167)



Density functional theory data (GGA-PBE) for an optimized crystal structure of U4Ga6Re7.

Results
The density of states at the Fermi level is 29.543 states/eV per cell. The total energy comes out at -151.75 eV per cell. The value obtained for the total magnetic moment is 0.0 μB per cell. The calculated volume comes out at 17.3 A^3/atom. The space-group type is Im-3m.

abc: 7.253 7.253 7.253
angles: 109.47 109.47 109.47
Fractional coordinates of all 17 atoms:
U (0.500, 0.000, 0.000)
U (0.500, 0.500, 0.500)
U (0.000, 0.500, 0.000)
U (0.000, 0.000, 0.500)
Ga (0.696, 0.000, 0.696)
Ga (0.696, 0.696, 0.000)
Ga (0.000, 0.304, 0.304)
Ga (0.304, 0.000, 0.304)
Ga (0.304, 0.304, 0.000)
Ga (0.000, 0.696, 0.696)
Re (0.750, 0.500, 0.250)
Re (0.250, 0.750, 0.500)
Re (0.500, 0.750, 0.250)
Re (0.750, 0.250, 0.500)
Re (0.250, 0.500, 0.750)
Re (0.500, 0.250, 0.750)
Re (0.000, 0.000, 0.000)



Density functional theory data (GGA-PBE) for an optimized crystal structure of U2GaRe.

Results
The density of states at the Fermi level is 6.989 states/eV per cell. The total energy comes out at -38.21 eV per cell. The value obtained for the total magnetic moment is 0.0 μB per cell. The calculated volume comes out at 18.3 A^3/atom. The space-group type is P4/mmm.

abc: 4.323 4.117 4.117
angles: 90.00 90.00 90.00
Fractional coordinates of all 4 atoms:
Re (0.500, 0.000, 0.000)
U (0.000, 0.000, 0.500)
U (0.000, 0.500, 0.000)
Ga (0.500, 0.500, 0.500)